# LiGa2Rh PBE-GGA relaxed
data_LiGa2Rh
_chemical_formula_sum 'Li4 Ga8 Rh4'
_symmetry_space_group_name_H-M 'I -4 2 d'
_symmetry_Int_Tables_number 122
_symmetry_space_group_name_Hall 'I -4 2bw'
_cell_length_a 3.8515
_cell_length_b 3.8515
_cell_length_c 17.5089
_cell_angle_alpha 90.00
_cell_angle_beta 90.00
_cell_angle_gamma 90.00
loop_
_atom_site_label
_atom_site_type_symbol
_atom_site_fract_x
_atom_site_fract_y
_atom_site_fract_z
Li1 Li 0.0000 0.0000 0.0000
Ga1 Ga 0.2406 0.2500 0.6250
Rh1 Rh 0.0000 0.0000 0.5000
# ΔH_f (0 K): -0.101 eV per atom
# Calculated density: 6.4 g/cm³
# ΔE to the lowest computed polymorph: 1.81 eV per formula unit
# Total moment: 0.00 μB per formula unit